Entry 1:
! Tb9SmSc2 PBE-GGA relaxed; values from VASP
&SYSTEM
  ibrav = 0, nat = 12, ntyp = 3
/
ATOMIC_SPECIES
Tb 158.93 Tb.upf
Sm 150.36 Sm.upf
Sc 44.96 Sc.upf
CELL_PARAMETERS angstrom
4.979 0.000 0.000
0.000 4.979 0.000
0.000 0.000 14.897
ATOMIC_POSITIONS crystal
Tb 0.000 0.000 0.000
Tb 0.000 0.000 0.337
Tb 0.000 0.000 0.663
Tb 0.000 0.500 0.172
Tb 0.000 0.500 0.500
Tb 0.000 0.500 0.828
Tb 0.500 0.000 0.172
Tb 0.500 0.000 0.500
Tb 0.500 0.000 0.828
Sm 0.500 0.500 0.000
Sc 0.500 0.500 0.336
Sc 0.500 0.500 0.664
! D(E_F), states/eV per cell: 18.6
! Formation energy, meV/atom: 35.7
! Calculated density, kg/m3: 7512
! Magnetic moment, μB per atom: 0.000

Entry 2:
! FeSeCl2 PBE-GGA relaxed; values from VASP
&SYSTEM
  ibrav = 0, nat = 16, ntyp = 3
/
ATOMIC_SPECIES
Fe 55.84 Fe.upf
Se 78.96 Se.upf
Cl 35.45 Cl.upf
CELL_PARAMETERS angstrom
6.426 0.000 0.000
0.000 6.426 0.000
0.000 0.000 9.182
ATOMIC_POSITIONS crystal
Fe 0.000 0.000 0.000
Fe 0.000 0.500 0.250
Fe 0.500 0.000 0.750
Fe 0.500 0.500 0.500
Se 0.000 0.000 0.500
Se 0.000 0.500 0.750
Se 0.500 0.000 0.250
Se 0.500 0.500 0.000
Cl 0.125 0.250 0.125
Cl 0.250 0.625 0.375
Cl 0.250 0.875 0.875
Cl 0.375 0.250 0.625
Cl 0.625 0.750 0.625
Cl 0.750 0.125 0.875
Cl 0.750 0.375 0.375
Cl 0.875 0.750 0.125
! D(E_F), states/eV per cell: 36.7
! Energy relative to the lowest polymorph listed for this composition, meV/atom: 796
! Calculated density, kg/m3: 3604
! Magnetic moment, μB per atom: 0.000
! Uncorrected formation energy, eV/atom: 0.412

Entry 3:
! RbEu2Hg PBE-GGA relaxed; values from VASP
&SYSTEM
  ibrav = 0, nat = 12, ntyp = 3
/
ATOMIC_SPECIES
Rb 85.47 Rb.upf
Eu 151.96 Eu.upf
Hg 200.59 Hg.upf
CELL_PARAMETERS angstrom
4.198 0.000 0.000
-2.099 3.636 0.000
0.000 0.000 37.962
ATOMIC_POSITIONS crystal
Rb 0.000 0.000 0.000
Rb 0.333 0.667 0.667
Rb 0.667 0.333 0.333
Eu 0.000 0.000 0.110
Eu 0.000 0.000 0.890
Eu 0.333 0.667 0.557
Eu 0.333 0.667 0.776
Eu 0.667 0.333 0.224
Eu 0.667 0.333 0.443
Hg 0.000 0.000 0.500
Hg 0.333 0.667 0.167
Hg 0.667 0.333 0.833
! D(E_F), states/eV per cell: 56.4
! Formation energy, meV/atom: -62.0
! Calculated density, kg/m3: 5072
! Magnetic moment, μB per atom: 3.865

Entry 4:
! YInF2 PBE-GGA relaxed; values from VASP
&SYSTEM
  ibrav = 0, nat = 16, ntyp = 3
/
ATOMIC_SPECIES
Y 88.91 Y.upf
In 114.82 In.upf
F 19.00 F.upf
CELL_PARAMETERS angstrom
5.479 0.000 0.000
0.000 5.479 0.000
0.000 0.000 13.241
ATOMIC_POSITIONS crystal
Y 0.000 0.000 0.000
Y 0.000 0.500 0.250
Y 0.500 0.000 0.750
Y 0.500 0.500 0.500
In 0.000 0.000 0.500
In 0.000 0.500 0.750
In 0.500 0.000 0.250
In 0.500 0.500 0.000
F 0.016 0.250 0.125
F 0.250 0.516 0.375
F 0.250 0.984 0.875
F 0.484 0.250 0.625
F 0.516 0.750 0.625
F 0.750 0.016 0.875
F 0.750 0.484 0.375
F 0.984 0.750 0.125
! D(E_F), states/eV per cell: 8.4
! Energy relative to the lowest polymorph listed for this composition, meV/atom: 0
! Calculated density, kg/m3: 4040
! Magnetic moment, μB per atom: 0.000
! Uncorrected formation energy, eV/atom: -2.307

Entry 5:
! SmYHo2P4 PBE-GGA relaxed; values from VASP
&SYSTEM
  ibrav = 0, nat = 8, ntyp = 4
/
ATOMIC_SPECIES
Sm 150.36 Sm.upf
Y 88.91 Y.upf
Ho 164.93 Ho.upf
P 30.97 P.upf
CELL_PARAMETERS angstrom
6.969 0.000 0.000
0.000 4.026 0.000
-2.323 0.000 6.571
ATOMIC_POSITIONS crystal
Sm 0.000 0.000 0.000
Y 0.500 0.500 0.000
Ho 0.000 0.500 0.500
Ho 0.500 0.000 0.500
P 0.251 0.000 0.746
P 0.254 0.500 0.256
P 0.746 0.500 0.744
P 0.749 0.000 0.254
! D(E_F), states/eV per cell: 0.8
! Formation energy, meV/atom: -1604.0
! Calculated density, kg/m3: 6242
! Magnetic moment, μB per atom: 0.000

Entry 6:
! La3Eu PBE-GGA relaxed; values from VASP
&SYSTEM
  ibrav = 0, nat = 16, ntyp = 2
/
ATOMIC_SPECIES
La 138.91 La.upf
Eu 151.96 Eu.upf
CELL_PARAMETERS angstrom
8.498 0.000 0.000
0.000 8.498 0.000
0.000 0.000 8.498
ATOMIC_POSITIONS crystal
La 0.000 0.000 0.000
La 0.000 0.500 0.500
La 0.250 0.250 0.250
La 0.250 0.250 0.750
La 0.250 0.750 0.250
La 0.250 0.750 0.750
La 0.500 0.000 0.500
La 0.500 0.500 0.000
La 0.750 0.250 0.250
La 0.750 0.250 0.750
La 0.750 0.750 0.250
La 0.750 0.750 0.750
Eu 0.000 0.000 0.500
Eu 0.000 0.500 0.000
Eu 0.500 0.000 0.000
Eu 0.500 0.500 0.500
! D(E_F), states/eV per cell: 28.9
! Formation energy, meV/atom: 129.6
! Calculated density, kg/m3: 6154
! Magnetic moment, μB per atom: 2.115

Entry 7:
! SrMoSe2 PBE-GGA relaxed; values from VASP
&SYSTEM
  ibrav = 0, nat = 8, ntyp = 3
/
ATOMIC_SPECIES
Sr 87.62 Sr.upf
Mo 95.94 Mo.upf
Se 78.96 Se.upf
CELL_PARAMETERS angstrom
3.493 0.000 0.000
0.000 3.697 0.000
0.000 0.000 13.851
ATOMIC_POSITIONS crystal
Sr 0.000 0.000 0.000
Sr 0.500 0.500 0.500
Mo 0.000 0.500 0.750
Mo 0.500 0.000 0.250
Se 0.000 0.000 0.385
Se 0.000 0.500 0.175
Se 0.500 0.000 0.675
Se 0.500 0.500 0.885
! D(E_F), states/eV per cell: 4.9
! Energy relative to the lowest polymorph listed for this composition, meV/atom: 177
! Calculated density, kg/m3: 6340
! Magnetic moment, μB per atom: 0.000
! Uncorrected formation energy, eV/atom: -0.608

Entry 8:
! Ac4TlBi3 PBE-GGA relaxed; values from VASP
&SYSTEM
  ibrav = 0, nat = 8, ntyp = 3
/
ATOMIC_SPECIES
Ac 227.00 Ac.upf
Tl 204.38 Tl.upf
Bi 208.98 Bi.upf
CELL_PARAMETERS angstrom
6.890 0.000 0.000
0.000 6.890 0.000
0.000 0.000 6.890
ATOMIC_POSITIONS crystal
Ac 0.000 0.000 0.000
Ac 0.000 0.500 0.500
Ac 0.500 0.000 0.500
Ac 0.500 0.500 0.000
Tl 0.500 0.500 0.500
Bi 0.000 0.000 0.500
Bi 0.000 0.500 0.000
Bi 0.500 0.000 0.000
! D(E_F), states/eV per cell: 5.1
! Formation energy, meV/atom: -761.6
! Calculated density, kg/m3: 8831
! Magnetic moment, μB per atom: 0.000

Number 5 is which compound?
SmYHo2P4